A relaxed Ce3Th2Ir2 crystal. Source: Alexandria, functional PBE.

* SG: C2/m, No. 12
* density: 11.16 g/cm³
* formation enthalpy at 0 K: -0.49 eV/atom
* DOS at the Fermi energy: 14.33 states/eV/cell

Cell and atoms, written as POSCAR:
```
Ce3Th2Ir2
1.0
5.910 -2.051 0.000
5.910 2.051 0.000
-3.876 0.000 7.788
Ce Th Ir
3 2 2
Direct
0.000 0.000 0.000 Ce
0.159 0.159 0.447 Ce
0.841 0.841 0.553 Ce
0.355 0.355 0.209 Th
0.645 0.645 0.791 Th
0.323 0.323 0.832 Ir
0.677 0.677 0.168 Ir
```


A relaxed InCu3H crystal. Source: Alexandria, functional PBE.

* SG: Pm-3m, No. 221
* excess energy over the best structure of this formula in the dataset: 1211 meV/atom
* density: 4.17 g/cm³
* DOS at the Fermi energy: 2.15 states/eV/cell

Cell and atoms, written as POSCAR:
```
InCu3H
1.0
4.959 0.000 0.000
0.000 4.959 0.000
0.000 0.000 4.959
In Cu H
1 3 1
Direct
0.000 0.000 0.000 In
0.000 0.000 0.500 Cu
0.000 0.500 0.000 Cu
0.500 0.000 0.000 Cu
0.500 0.500 0.500 H
```


A relaxed PuIn2Ni9 crystal. Source: Alexandria, functional PBE.

* SG: R-3m, No. 166
* density: 10.07 g/cm³
* formation enthalpy at 0 K: -0.15 eV/atom
* DOS at the Fermi energy: 21.10 states/eV/cell

Cell and atoms, written as POSCAR:
```
PuIn2Ni9
1.0
2.457 1.419 7.900
-2.457 1.419 7.900
0.000 -2.838 7.900
Pu In Ni
1 2 9
Direct
0.000 0.000 0.000 Pu
0.141 0.141 0.141 In
0.859 0.859 0.859 In
0.081 0.585 0.585 Ni
0.334 0.334 0.334 Ni
0.415 0.415 0.919 Ni
0.415 0.919 0.415 Ni
0.500 0.500 0.500 Ni
0.585 0.081 0.585 Ni
0.585 0.585 0.081 Ni
0.666 0.666 0.666 Ni
0.919 0.415 0.415 Ni
```


A relaxed ZnCu2Au crystal. Source: Alexandria, functional PBE.

* SG: R3m, No. 160
* density: 11.15 g/cm³
* formation enthalpy at 0 K: 0.01 eV/atom
* DOS at the Fermi energy: 1.89 states/eV/cell

Cell and atoms, written as POSCAR:
```
ZnCu2Au
1.0
1.406 0.812 8.470
-1.406 0.812 8.470
0.000 -1.624 8.470
Zn Cu Au
1 2 1
Direct
0.000 0.000 0.000 Zn
0.255 0.255 0.255 Cu
0.512 0.512 0.512 Cu
0.758 0.758 0.758 Au
```


A relaxed NdCdSn2Pd4 crystal. Source: Alexandria, functional PBE.

* SG: R-3m, No. 166
* density: 9.65 g/cm³
* formation enthalpy at 0 K: -0.60 eV/atom
* DOS at the Fermi energy: 2.79 states/eV/cell

Cell and atoms, written as POSCAR:
```
NdCdSn2Pd4
1.0
2.324 1.342 8.460
-2.324 1.342 8.460
0.000 -2.683 8.460
Nd Cd Sn Pd
1 1 2 4
Direct
0.000 0.000 0.000 Nd
0.500 0.500 0.500 Cd
0.246 0.246 0.246 Sn
0.754 0.754 0.754 Sn
0.129 0.129 0.129 Pd
0.393 0.393 0.393 Pd
0.607 0.607 0.607 Pd
0.871 0.871 0.871 Pd
```


A relaxed TaNi2N2 crystal. Source: Alexandria, functional PBE.

* SG: P4/mbm, No. 127
* formation energy without anion corrections: 0.79 eV per atom
* excess energy over the best structure of this formula in the dataset: 336 meV/atom
* density: 9.94 g/cm³
* DOS at the Fermi energy: 6.87 states/eV/cell

Cell and atoms, written as POSCAR:
```
TaNi2N2
1.0
6.343 0.000 0.000
0.000 6.343 0.000
0.000 0.000 2.711
Ta Ni N
2 4 4
Direct
0.000 0.000 0.000 Ta
0.500 0.500 0.000 Ta
0.124 0.376 0.000 Ni
0.376 0.876 0.000 Ni
0.624 0.124 0.000 Ni
0.876 0.624 0.000 Ni
0.234 0.734 0.500 N
0.266 0.234 0.500 N
0.734 0.766 0.500 N
0.766 0.266 0.500 N
```


A relaxed AcCeAu2 crystal. Source: Alexandria, functional PBE.

* SG: Fm-3m, No. 225
* excess energy over the best structure of this formula in the dataset: 60 meV/atom
* density: 11.42 g/cm³
* formation enthalpy at 0 K: -0.65 eV/atom
* DOS at the Fermi energy: 9.49 states/eV/cell

Cell and atoms, written as POSCAR:
```
AcCeAu2
1.0
0.000 3.811 3.811
3.811 0.000 3.811
3.811 3.811 0.000
Ac Ce Au
1 1 2
Direct
0.000 0.000 0.000 Ac
0.500 0.500 0.500 Ce
0.250 0.250 0.250 Au
0.750 0.750 0.750 Au
```


A relaxed Pu3Sb4Pt2 crystal. Source: Alexandria, functional PBE.

* SG: C2/m, No. 12
* formation energy without anion corrections: -0.60 eV per atom
* density: 12.66 g/cm³
* DOS at the Fermi energy: 23.29 states/eV/cell

Cell and atoms, written as POSCAR:
```
Pu3Sb4Pt2
1.0
5.713 -2.456 0.000
5.713 2.456 0.000
-5.349 0.000 7.522
Pu Sb Pt
3 4 2
Direct
0.000 0.000 0.000 Pu
0.022 0.022 0.678 Pu
0.978 0.978 0.322 Pu
0.308 0.308 0.406 Sb
0.367 0.367 0.057 Sb
0.633 0.633 0.943 Sb
0.692 0.692 0.594 Sb
0.326 0.326 0.722 Pt
0.674 0.674 0.278 Pt
```


A relaxed Y4Se2SN crystal. Source: Alexandria, functional PBE.

* SG: P2/m, No. 10
* formation energy without anion corrections: -1.78 eV per atom
* density: 5.51 g/cm³
* DOS at the Fermi energy: 2.43 states/eV/cell

Cell and atoms, written as POSCAR:
```
Y4Se2SN
1.0
6.711 0.000 0.000
0.000 3.826 0.000
-2.193 0.000 6.569
Y Se S N
4 2 1 1
Direct
0.214 0.000 0.204 Y
0.236 0.500 0.789 Y
0.764 0.500 0.211 Y
0.786 0.000 0.796 Y
0.000 0.000 0.500 Se
0.500 0.500 0.500 Se
0.500 0.000 0.000 S
0.000 0.500 0.000 N
```


A relaxed AgPbF3 crystal. Source: Alexandria, functional PBE.

* SG: C2/m, No. 12
* formation energy without anion corrections: -1.77 eV per atom
* density: 6.84 g/cm³
* DOS at the Fermi energy: 0.00 states/eV/cell

Cell and atoms, written as POSCAR:
```
AgPbF3
1.0
7.012 -1.946 0.000
7.012 1.946 0.000
-0.524 0.000 6.616
Ag Pb F
2 2 6
Direct
0.057 0.057 0.194 Ag
0.943 0.943 0.806 Ag
0.304 0.304 0.262 Pb
0.696 0.696 0.738 Pb
0.164 0.164 0.508 F
0.308 0.308 0.879 F
0.471 0.471 0.227 F
0.529 0.529 0.773 F
0.692 0.692 0.121 F
0.836 0.836 0.492 F
```


A relaxed Be2Fe2Tc crystal. Source: Alexandria, functional PBE.

* SG: I4/mmm, No. 139
* excess energy over the best structure of this formula in the dataset: 523 meV/atom
* density: 6.96 g/cm³
* formation enthalpy at 0 K: 0.42 eV/atom
* DOS at the Fermi energy: 4.90 states/eV/cell

Cell and atoms, written as POSCAR:
```
Be2Fe2Tc
1.0
-1.908 1.908 3.728
1.908 -1.908 3.728
1.908 1.908 -3.728
Be Fe Tc
2 2 1
Direct
0.250 0.750 0.500 Be
0.750 0.250 0.500 Be
0.141 0.141 0.000 Fe
0.859 0.859 0.000 Fe
0.500 0.500 0.000 Tc
```


A relaxed Pa4Ge3P crystal. Source: Alexandria, functional PBE.

* SG: Pm-3m, No. 221
* density: 10.02 g/cm³
* formation enthalpy at 0 K: -0.64 eV/atom
* DOS at the Fermi energy: 13.23 states/eV/cell

Cell and atoms, written as POSCAR:
```
Pa4Ge3P
1.0
5.793 0.000 0.000
0.000 5.793 0.000
0.000 0.000 5.793
Pa Ge P
4 3 1
Direct
0.000 0.000 0.000 Pa
0.000 0.500 0.500 Pa
0.500 0.000 0.500 Pa
0.500 0.500 0.000 Pa
0.000 0.000 0.500 Ge
0.000 0.500 0.000 Ge
0.500 0.000 0.000 Ge
0.500 0.500 0.500 P
```